SmIrO4 (GGA-PBE, relaxed); E above lowest polymorph = 0.000 eV/atom
1.0
-2.383 1.726 -4.594
-4.855 -5.951 0.283
-3.944 5.025 3.933
O Sm Ir
16 4 4
direct
0.912 0.058 0.695 O
0.088 0.942 0.305 O
0.132 0.165 0.052 O
0.368 0.165 0.552 O
0.524 0.616 0.674 O
0.588 0.058 0.195 O
0.632 0.835 0.448 O
0.995 0.314 0.376 O
0.505 0.314 0.876 O
0.495 0.686 0.124 O
0.005 0.686 0.624 O
0.412 0.942 0.805 O
0.024 0.384 0.826 O
0.476 0.384 0.326 O
0.868 0.835 0.948 O
0.976 0.616 0.174 O
0.719 0.347 0.604 Sm
0.781 0.347 0.104 Sm
0.219 0.653 0.896 Sm
0.281 0.653 0.396 Sm
0.728 0.841 0.702 Ir
0.272 0.159 0.298 Ir
0.772 0.841 0.202 Ir
0.228 0.159 0.798 Ir

LaSc2Cd (GGA-PBE, relaxed); energy of formation = -0.10 eV per atom
1.0
-3.286 -0.402 -1.035
0.483 -3.429 -0.200
-2.578 -0.859 8.522
Cd Sc La
1 2 1
direct
0.000 0.000 0.468 Cd
0.000 0.000 0.032 Sc
0.500 0.500 0.263 Sc
0.500 0.500 0.738 La

The magnetization results, record by record, are as follows: 2.82; 1.04 μB/cell.
The uncorrected energy results, record by record, are as follows: -7.423; -4.729 eV/atom.